No. 1
Computed, not measured: crystalline Pr2HoTh at its relaxed geometry at the PBE level of DFT.

abc: 8.161 8.161 8.161
angles: 90.00 90.00 90.00
Space group Fm-3m (No. 225)
One atom of each set of equivalent atoms:
Pr 0.250 0.250 0.250 (multiplicity 8)
Ho 0.000 0.000 0.000 (multiplicity 4)
Th 0.000 0.000 0.500 (multiplicity 4)

The calculation puts the density of states at the Fermi level at 46.29 states/eV per cell.

No. 2
Computed, not measured: crystalline PrHo2Th at its relaxed geometry at the PBE level of DFT.

abc: 3.599 3.599 10.061
angles: 90.00 90.00 90.00
Space group P4/mmm (No. 123)
One atom of each set of equivalent atoms:
Pr 0.000 0.000 0.000 (multiplicity 1)
Ho 0.500 0.500 0.261 (multiplicity 2)
Th 0.000 0.000 0.500 (multiplicity 1)

The calculation puts the density of states at the Fermi level at 4.41 states/eV per cell.

| no. | magnetic moment (μB per cell) | distance to the lowest polymorph of the same formula (meV/atom) | energy relative to the elements (eV/atom) |
| --- | --- | --- | --- |
| 1 | 0.079 | 173 | 0.21 |
| 2 | 0.000 | 0 | 0.01 |